# 1
# LiLaNd2

An optimized crystal structure of LiLaNd2 (PBE-GGA, the Alexandria database).

Results
Total magnetization in μB per atom: 0.3145
Energy of formation from the pure elements in meV/atom: 209
Crystal system: cubic
Space group: Fm-3m (225)
Relative energy among the computed polymorphs in eV per formula unit: 0.58

Unit cell a=5.6431 b=5.6431 c=5.6431 alpha=60.00 beta=60.00 gamma=60.00
Fractional coordinates of all 4 atoms:
Li: 0.5000 0.5000 0.5000
Nd: 0.2500 0.2500 0.2500
Nd: 0.7500 0.7500 0.7500
La: 0.0000 0.0000 0.0000

---

# 2
# LiLaNd2

An optimized crystal structure of LiLaNd2 (PBE-GGA, the Alexandria database).

Results
Total magnetization in μB per atom: 0.0000
Energy of formation from the pure elements in meV/atom: 134
Crystal system: tetragonal
Space group: P4/mmm (123)
Relative energy among the computed polymorphs in eV per formula unit: 0.28

Unit cell a=3.7049 b=5.8916 c=5.8916 alpha=90.00 beta=90.00 gamma=90.00
Fractional coordinates of all 4 atoms:
Li: 0.5000 0.0000 0.0000
Nd: 0.0000 0.0000 0.5000
Nd: 0.0000 0.5000 0.0000
La: 0.5000 0.5000 0.5000

---

no.,electronic total energy (eV/atom)
1,-3.89
2,-3.96